Below is a geometry-optimized MnCu6Au12 structure, with properties calculated at the PBE level.

abc: 11.3261 11.3261 9.0036
angles: 90.00 90.00 120.00
Space group R-3 (No. 148, hexagonal axes)
Unique sites:
Mn (0.0000, 0.0000, 0.0000) x3
Cu (0.0313, 0.8917, 0.7117) x18
Au (0.0631, 0.5914, 0.6254) x18
Au (0.0666, 0.5896, 0.1162) x18

- Relative energy among the computed polymorphs: 0.141 eV/atom
- Formation energy: 10.98 kJ/mol of atoms
- DFT total energy: -3.732 eV per atom

=====

Below is a geometry-optimized Sm2DyScBi4 structure, with properties calculated at the PBE level.

abc: 7.734 4.474 7.745
angles: 90.00 109.50 90.00
Space group P2/m (No. 10)
Unique sites:
Sm (0.000, 0.000, 0.000) x1
Sm (0.000, 0.500, 0.500) x1
Dy (0.500, 0.000, 0.500) x1
Sc (0.500, 0.500, 0.000) x1
Bi (0.260, 0.500, 0.247) x2
Bi (0.265, 0.000, 0.761) x2

- Formation energy: -80.13 kJ/mol of atoms
- DFT total energy: -5.317 eV per atom

=====

Below is a geometry-optimized RbYHf structure, with properties calculated at the PBE level.

abc: 6.0837 6.0837 6.4553
angles: 90.00 90.00 120.00
Space group P6_3mc (No. 186)
Unique sites:
Rb (0.0000, 0.0000, 0.0000) x2
Y (0.3333, 0.6667, 0.2528) x2
Hf (0.3333, 0.6667, 0.7528) x2

- Relative energy among the computed polymorphs: 0.884 eV/atom
- Formation energy: 109.07 kJ/mol of atoms
- DFT total energy: -4.665 eV per atom

=====

Below is a geometry-optimized NaLi2Ni structure, with properties calculated at the PBE level.

abc: 4.021 4.021 18.445
angles: 90.00 90.00 90.00
Space group I-42d (No. 122)
Unique sites:
Na (0.000, 0.000, 0.000) x4
Li (0.210, 0.250, 0.625) x8
Ni (0.000, 0.000, 0.500) x4

- Relative energy among the computed polymorphs: 0.209 eV/atom
- Formation energy: 40.33 kJ/mol of atoms
- DFT total energy: -2.314 eV per atom